Computed, not measured: a geometry-optimized ScZnCo2 structure at the PBE level of DFT.

Summary:
Calculated formation energy: -0.1093 eV per atom
VASP energy: -5.561 eV per atom
Volume: 214 Å³ per cell

a b c (Å): 3.8057 7.1955 7.8143
angles (deg): 90.00 90.00 90.00
Last column: nearest neighbours and their distance in Å.
Space group Amm2 (No. 38)
Asymmetric unit:
Sc: 0.0000 0.2319 0.0000  8 Co 2.53-2.74, 4 Zn 2.62-2.72
Zn: 0.0000 0.0000 0.7408  6 Co 2.60-2.78, 4 Sc 2.62-2.69, 2 Zn 2.80
Zn: 0.5000 0.0000 0.4782  6 Co 2.56-2.76, 4 Sc 2.72, 2 Zn 2.80
Co: 0.0000 0.0000 0.2505  4 Sc 2.57-2.74, 2 Zn 2.61, 6 Co 2.63-2.73
Co: 0.5000 0.0000 0.9995  4 Sc 2.53, 6 Co 2.65-2.73, 2 Zn 2.78
Co: 0.5000 0.2471 0.7482  4 Zn 2.56-2.76, 4 Co 2.63-2.66, 4 Sc 2.72-2.74